(1)
The following is a meta-GGA SCAN calculation of a PBEsol-optimized structure of MgAsBr2, from Alexandria via LeMat-Bulk.

a b c (Å): 9.716 9.716 9.716
angles (deg): 20.43 20.43 20.43
Sites, in units of the cell vectors:
Mg  0.000  0.000  0.000
As  0.500  0.500  0.500
Br  0.090  0.090  0.090
Br  0.910  0.910  0.910

(2)
The following is a meta-GGA SCAN calculation of a PBEsol-optimized structure of Mg2AsBr, from Alexandria via LeMat-Bulk.

a b c (Å): 3.426 3.426 7.248
angles (deg): 90.00 90.00 90.00
Sites, in units of the cell vectors:
Mg  0.000  0.000  0.210
Mg  0.000  0.000  0.790
As  0.500  0.500  0.000
Br  0.500  0.500  0.500

(3)
The following is a meta-GGA SCAN calculation of a PBEsol-optimized structure of Mg2AsBr, from Alexandria via LeMat-Bulk.

a b c (Å): 3.644 3.644 7.429
angles (deg): 90.00 90.00 111.32
Sites, in units of the cell vectors:
Mg  0.000  0.000  0.212
Mg  0.000  0.000  0.788
As  0.500  0.500  0.000
Br  0.500  0.500  0.500

(4)
The following is a meta-GGA SCAN calculation of a PBEsol-optimized structure of MgAs2Br, from Alexandria via LeMat-Bulk.

a b c (Å): 3.753 5.081 5.081
angles (deg): 90.00 107.69 90.00
Sites, in units of the cell vectors:
Mg  0.000  0.000  0.000
As  0.186  0.500  0.831
As  0.814  0.500  0.169
Br  0.500  0.000  0.500

Number 1: raw formation energy 0.0765 eV per atom, relative energy among the computed polymorphs 0.7031 eV/atom. Number 2: raw formation energy -0.5041 eV per atom, relative energy among the computed polymorphs 0.0593 eV/atom. Number 3: raw formation energy -0.5634 eV per atom, relative energy among the computed polymorphs 0.0000 eV/atom. Number 4: raw formation energy -0.3951 eV per atom, relative energy among the computed polymorphs 0.1126 eV/atom.